Crystalline TmPuRhO6 at its relaxed geometry. Source: Alexandria, functional GGA-PBE.

```
data_TmPuRhO6
_chemical_formula_sum 'Tm2 Pu2 Rh2 O12'
_cell_length_a 5.5378
_cell_length_b 5.5378
_cell_length_c 8.6119
_cell_angle_alpha 90.00
_cell_angle_beta 90.00
_cell_angle_gamma 120.00
_space_group_name_H-M_alt 'P -3 1 c'
_space_group_IT_number 163
_space_group_name_Hall '-P 3 2c'
loop_
_atom_site_label
_atom_site_type_symbol
_atom_site_fract_x
_atom_site_fract_y
_atom_site_fract_z
_atom_site_occupancy
Tm1 Tm 0.3333 0.6667 0.2500 1
Pu1 Pu 0.3333 0.6667 0.7500 1
Rh1 Rh 0.0000 0.0000 0.0000 1
O1 O 0.0199 0.3344 0.6237 1
```

Computed properties:
Total DFT energy (no corrections) in eV per cell: -150.74
Formation energy from raw total energies in eV per atom: -2.16
Size of the total moment in μB/cell: 3.99
Mass density in kg/m³: 8884